PBE SiRuI3, optimized geometry; uncorrected formation energy = 1003 meV per atom; space-group type = Pm-3m; distance to the lowest polymorph of the same formula = 0.242 eV per atom; total magnetization = 3.0 μB per formula unit
1.0
5.589 0.000 0.000
0.000 5.589 0.000
0.000 0.000 5.589
Si Ru I
1 1 3
direct
0.000 0.000 0.000 Si
0.500 0.500 0.500 Ru
0.000 0.000 0.500 I
0.000 0.500 0.000 I
0.500 0.000 0.000 I



PBE CeHoScTi, optimized geometry; raw total energy = -23.9 eV for the cell shown; space-group type = F-43m; total magnetization = 1.3 μB per formula unit
1.0
0.000 3.699 3.699
3.699 0.000 3.699
3.699 3.699 0.000
Ce Ho Sc Ti
1 1 1 1
direct
0.000 0.000 0.000 Ce
0.500 0.500 0.500 Ho
0.750 0.750 0.750 Sc
0.250 0.250 0.250 Ti



PBE RbMg2Tc, optimized geometry; space-group type = I4_1/amd; distance to the lowest polymorph of the same formula = 0.059 eV per atom; total magnetization = 2.6 μB per formula unit
1.0
-2.924 2.924 9.209
2.924 -2.924 9.209
2.924 2.924 -9.209
Rb Mg Tc
2 4 2
direct
0.375 0.625 0.750 Rb
0.625 0.375 0.250 Rb
0.000 0.000 0.000 Mg
0.000 0.000 0.500 Mg
0.000 0.500 0.000 Mg
0.500 0.000 0.500 Mg
0.125 0.875 0.250 Tc
0.875 0.125 0.750 Tc



PBE HfVIr, optimized geometry; space-group type = P3m1; distance to the lowest polymorph of the same formula = 0.395 eV per atom; total magnetization = 0.0 μB per formula unit
1.0
4.408 0.000 0.000
-2.204 3.818 0.000
0.000 0.000 2.883
Hf V Ir
1 1 1
direct
0.000 0.000 0.000 Hf
0.667 0.333 0.642 V
0.333 0.667 0.358 Ir



PBE KAgRu2, optimized geometry; space-group type = I-42d; distance to the lowest polymorph of the same formula = 0.617 eV per atom; total magnetization = 0.0 μB per formula unit
1.0
-2.091 2.091 10.341
2.091 -2.091 10.341
2.091 2.091 -10.341
K Ag Ru
2 2 4
direct
0.000 0.000 0.000 K
0.750 0.250 0.500 K
0.250 0.750 0.500 Ag
0.500 0.500 0.000 Ag
0.246 0.625 0.121 Ru
0.375 0.496 0.621 Ru
0.504 0.125 0.879 Ru
0.875 0.754 0.379 Ru



PBE LiPaWN4, optimized geometry; uncorrected formation energy = -794 meV per atom; space-group type = I4mm; total magnetization = 0.0 μB per formula unit
1.0
-1.845 1.845 6.433
1.845 -1.845 6.433
1.845 1.845 -6.433
Li Pa W N
1 1 1 4
direct
0.000 0.000 0.000 Li
0.684 0.684 0.000 Pa
0.359 0.359 0.000 W
0.149 0.149 0.000 N
0.308 0.808 0.500 N
0.501 0.501 0.000 N
0.808 0.308 0.500 N



PBE MgGe2As, optimized geometry; space-group type = I-42d; distance to the lowest polymorph of the same formula = 0.000 eV per atom; total magnetization = 0.0 μB per formula unit
1.0
-3.115 3.115 5.519
3.115 -3.115 5.519
3.115 3.115 -5.519
Mg Ge As
2 4 2
direct
0.000 0.000 0.000 Mg
0.750 0.250 0.500 Mg
0.149 0.625 0.024 Ge
0.375 0.399 0.524 Ge
0.601 0.125 0.976 Ge
0.875 0.851 0.476 Ge
0.250 0.750 0.500 As
0.500 0.500 0.000 As



PBE Sr4SbPH, optimized geometry; raw total energy = -25.3 eV for the cell shown; space-group type = I4mm; total magnetization = 0.0 μB per formula unit
1.0
-2.431 2.431 8.661
2.431 -2.431 8.661
2.431 2.431 -8.661
Sr Sb P H
4 1 1 1
direct
0.000 0.000 0.000 Sr
0.169 0.669 0.500 Sr
0.365 0.365 0.000 Sr
0.669 0.169 0.500 Sr
0.811 0.811 0.000 Sb
0.548 0.548 0.000 P
0.145 0.145 0.000 H



PBE Sm2SnGe, optimized geometry; raw total energy = -20.7 eV for the cell shown; space-group type = P4/mmm; total magnetization = 0.0 μB per formula unit
1.0
3.430 0.000 0.000
0.000 3.430 0.000
0.000 0.000 8.745
Sm Sn Ge
2 1 1
direct
0.000 0.000 0.228 Sm
0.000 0.000 0.772 Sm
0.500 0.500 0.500 Sn
0.500 0.500 0.000 Ge



PBE Sr2MgTl6Pb, optimized geometry; raw total energy = -24.4 eV for the cell shown; space-group type = P-1; total magnetization = 0.0 μB per formula unit
1.0
6.279 0.000 0.000
3.129 6.987 0.000
3.035 -1.201 7.415
Sr Mg Tl Pb
2 1 6 1
direct
0.228 0.280 0.264 Sr
0.772 0.720 0.736 Sr
0.000 0.000 0.000 Mg
0.178 0.832 0.308 Tl
0.249 0.569 0.934 Tl
0.318 0.169 0.696 Tl
0.682 0.831 0.304 Tl
0.751 0.431 0.066 Tl
0.822 0.168 0.692 Tl
0.500 0.500 0.500 Pb



PBE La3Pm13, optimized geometry; space-group type = Amm2; distance to the lowest polymorph of the same formula = 0.017 eV per atom; total magnetization = 0.0 μB per formula unit
1.0
7.404 0.000 0.000
0.000 5.943 6.411
0.000 -5.943 6.411
La Pm
3 13
direct
0.000 0.000 0.000 La
0.251 0.748 0.748 La
0.749 0.748 0.748 La
0.000 0.415 0.917 Pm
0.000 0.498 0.498 Pm
0.000 0.917 0.415 Pm
0.250 0.250 0.250 Pm
0.251 0.168 0.664 Pm
0.251 0.664 0.168 Pm
0.500 0.001 0.001 Pm
0.500 0.414 0.918 Pm
0.500 0.498 0.498 Pm
0.500 0.918 0.414 Pm
0.749 0.168 0.664 Pm
0.749 0.664 0.168 Pm
0.750 0.250 0.250 Pm



PBE CaRe2Mo, optimized geometry; space-group type = P4/mmm; distance to the lowest polymorph of the same formula = 0.313 eV per atom; total magnetization = 0.0 μB per formula unit
1.0
4.646 0.000 0.000
0.000 4.646 0.000
0.000 0.000 3.139
Ca Re Mo
1 2 1
direct
0.000 0.000 0.000 Ca
0.000 0.500 0.500 Re
0.500 0.000 0.500 Re
0.500 0.500 0.000 Mo



PBE MgSc2In, optimized geometry; space-group type = Pm; distance to the lowest polymorph of the same formula = 0.082 eV per atom; total magnetization = 0.5 μB per formula unit
1.0
3.316 0.000 0.000
0.000 4.724 0.000
-1.658 0.000 5.958
Mg Sc In
1 2 1
direct
0.000 0.000 0.000 Mg
0.253 0.000 0.510 Sc
0.603 0.500 0.209 Sc
0.858 0.500 0.719 In



PBE ErLuCdGe, optimized geometry; raw total energy = -16.3 eV for the cell shown; space-group type = F-43m; total magnetization = 0.0 μB per formula unit
1.0
0.000 3.588 3.588
3.588 0.000 3.588
3.588 3.588 0.000
Er Lu Cd Ge
1 1 1 1
direct
0.000 0.000 0.000 Er
0.500 0.500 0.500 Lu
0.750 0.750 0.750 Cd
0.250 0.250 0.250 Ge



PBE Cr2AsSe, optimized geometry; uncorrected formation energy = 17 meV per atom; space-group type = I-42d; distance to the lowest polymorph of the same formula = 0.261 eV per atom; total magnetization = 7.0 μB per formula unit
1.0
-2.845 2.845 5.800
2.845 -2.845 5.800
2.845 2.845 -5.800
Cr As Se
4 2 2
direct
0.119 0.625 0.994 Cr
0.375 0.369 0.494 Cr
0.631 0.125 0.006 Cr
0.875 0.881 0.506 Cr
0.000 0.000 0.000 As
0.750 0.250 0.500 As
0.250 0.750 0.500 Se
0.500 0.500 0.000 Se



PBE Pr2NdCd4, optimized geometry; raw total energy = -19.2 eV for the cell shown; space-group type = I4/mmm; total magnetization = 0.4 μB per formula unit
1.0
-2.735 2.735 7.190
2.735 -2.735 7.190
2.735 2.735 -7.190
Pr Nd Cd
2 1 4
direct
0.237 0.237 0.000 Pr
0.763 0.763 0.000 Pr
0.500 0.500 0.000 Nd
0.112 0.612 0.500 Cd
0.388 0.888 0.500 Cd
0.612 0.112 0.500 Cd
0.888 0.388 0.500 Cd



PBE Tc4RuSe, optimized geometry; uncorrected formation energy = 710 meV per atom; space-group type = F-43m; total magnetization = 0.0 μB per formula unit
1.0
0.000 3.629 3.629
3.629 0.000 3.629
3.629 3.629 0.000
Tc Ru Se
4 1 1
direct
0.125 0.125 0.125 Tc
0.125 0.125 0.624 Tc
0.125 0.624 0.125 Tc
0.624 0.125 0.125 Tc
0.500 0.500 0.500 Ru
0.750 0.750 0.750 Se



PBE PmGa2I5, optimized geometry; uncorrected formation energy = -863 meV per atom; space-group type = Cc; total magnetization = 0.0 μB per formula unit
1.0
7.970 -4.118 0.000
7.970 4.118 0.000
-4.561 0.000 10.739
Pm Ga I
2 4 10
direct
0.000 0.000 0.000 Pm
0.000 0.000 0.500 Pm
0.365 0.413 0.795 Ga
0.413 0.365 0.295 Ga
0.586 0.635 0.705 Ga
0.635 0.586 0.205 Ga
0.028 0.347 0.143 I
0.156 0.844 0.250 I
0.226 0.593 0.541 I
0.347 0.028 0.643 I
0.407 0.774 0.959 I
0.593 0.226 0.041 I
0.653 0.972 0.357 I
0.774 0.407 0.459 I
0.844 0.156 0.750 I
0.972 0.653 0.857 I



PBE InRuS2Cl, optimized geometry; uncorrected formation energy = -61 meV per atom; space-group type = P4/mmm; distance to the lowest polymorph of the same formula = 0.000 eV per atom; total magnetization = 0.0 μB per formula unit
1.0
4.614 0.000 0.000
0.000 4.614 0.000
0.000 0.000 5.119
In Ru S Cl
1 1 2 1
direct
0.000 0.000 0.000 In
0.500 0.500 0.500 Ru
0.000 0.500 0.500 S
0.500 0.000 0.500 S
0.500 0.500 0.000 Cl



PBE DyTm2Cu2Si2, optimized geometry; uncorrected formation energy = -500 meV per atom; space-group type = R-3m; total magnetization = 0.0 μB per formula unit
1.0
2.030 1.172 10.435
-2.030 1.172 10.435
0.000 -2.344 10.435
Dy Tm Cu Si
1 2 2 2
direct
0.000 0.000 0.000 Dy
0.120 0.120 0.120 Tm
0.880 0.880 0.880 Tm
0.396 0.396 0.396 Cu
0.604 0.604 0.604 Cu
0.271 0.271 0.271 Si
0.729 0.729 0.729 Si